B3Mo5 | GGA-PBE | optimized geometry

The structure in POSCAR format:
```
B3Mo5
1.0
5.917 0.000 0.000
0.000 5.917 0.000
-2.959 -2.959 5.458
B Mo
6 10
direct
0.117 0.617 0.000
0.250 0.250 0.500
0.383 0.117 0.000
0.883 0.383 0.000
0.617 0.883 0.000
0.750 0.750 0.500
0.500 0.500 0.000
0.524 0.024 0.710
0.686 0.524 0.710
0.186 0.686 0.710
0.024 0.186 0.710
0.000 0.000 0.000
0.314 0.476 0.290
0.476 0.976 0.290
0.814 0.314 0.290
0.976 0.814 0.290
```

Results
E_tot: -9.6215 eV/atom
energy relative to the elements: -348 meV per atom
space-group type: I4/mcm, No. 140

B5Mo2 | GGA-PBE | optimized geometry

The structure in POSCAR format:
```
B5Mo2
1.0
-4.476 -5.646 -1.767
-3.452 -6.487 1.017
-5.822 -4.531 0.772
Mo B
2 5
direct
0.075 0.075 0.075
0.925 0.925 0.925
0.184 0.184 0.184
0.816 0.816 0.816
0.331 0.331 0.331
0.669 0.669 0.669
0.500 0.500 0.500
```

Results
E_tot: -7.8037 eV/atom
energy relative to the elements: 60 meV per atom
space-group type: R-3m, No. 166

B3Mo2 | GGA-PBE | optimized geometry

The structure in POSCAR format:
```
B3Mo2
1.0
-1.444 -4.480 -0.531
1.068 1.699 3.893
-5.175 1.582 0.730
B Mo
6 4
direct
0.169 0.837 0.750
0.000 0.000 0.000
0.500 0.000 0.500
0.669 0.837 0.750
0.331 0.163 0.250
0.831 0.163 0.250
0.328 0.655 0.103
0.172 0.345 0.603
0.672 0.345 0.897
0.828 0.655 0.397
```

Results
E_tot: -8.4670 eV/atom
energy relative to the elements: -128 meV per atom
space-group type: Cmce, No. 64

BMo3 | GGA-PBE | optimized geometry

The structure in POSCAR format:
```
BMo3
1.0
3.148 0.000 0.000
-1.574 4.619 0.000
0.000 0.000 7.344
Mo B
6 2
direct
0.145 0.289 0.557
0.440 0.881 0.750
0.145 0.289 0.943
0.560 0.119 0.250
0.855 0.711 0.443
0.855 0.711 0.057
0.255 0.509 0.250
0.745 0.491 0.750
```

Results
E_tot: -9.9888 eV/atom
energy relative to the elements: -196 meV per atom
space-group type: Cmcm, No. 63

BMo | GGA-PBE | optimized geometry

The structure in POSCAR format:
```
BMo
1.0
-4.610 -4.490 2.106
2.782 0.039 6.173
-2.654 3.276 1.175
Mo B
8 8
direct
0.690 0.893 0.500
0.607 0.190 0.000
0.393 0.810 0.000
0.893 0.310 0.500
0.310 0.107 0.500
0.107 0.690 0.500
0.190 0.393 0.000
0.810 0.607 0.000
0.244 0.414 0.500
0.086 0.744 0.000
0.414 0.756 0.500
0.756 0.586 0.500
0.586 0.244 0.500
0.256 0.086 0.000
0.914 0.256 0.000
0.744 0.914 0.000
```

Results
E_tot: -8.7389 eV/atom
energy relative to the elements: 15 meV per atom
space-group type: I4/m, No. 87

B2Mo | GGA-PBE | optimized geometry

The structure in POSCAR format:
```
B2Mo
1.0
7.231 0.010 0.006
6.596 2.963 0.006
6.596 1.418 2.602
B Mo
4 2
direct
0.819 0.819 0.819
0.668 0.668 0.668
0.181 0.181 0.181
0.332 0.332 0.332
0.924 0.924 0.924
0.076 0.076 0.076
```

Results
E_tot: -8.4967 eV/atom
energy relative to the elements: -435 meV per atom
space-group type: R-3m, No. 166

B2Mo3 | GGA-PBE | optimized geometry

The structure in POSCAR format:
```
B2Mo3
1.0
6.047 0.000 0.000
0.000 6.047 0.000
0.000 0.000 3.159
B Mo
4 6
direct
0.613 0.887 0.000
0.113 0.613 0.000
0.387 0.113 0.000
0.887 0.387 0.000
0.173 0.327 0.500
0.827 0.673 0.500
0.000 0.000 0.000
0.673 0.173 0.500
0.327 0.827 0.500
0.500 0.500 0.000
```

Results
E_tot: -9.5499 eV/atom
energy relative to the elements: -380 meV per atom
space-group type: P4/mbm, No. 127

BMo | GGA-PBE | optimized geometry

The structure in POSCAR format:
```
BMo
1.0
-1.935 1.944 -1.755
0.038 -3.155 -3.536
-8.883 -4.946 4.318
Mo B
6 6
direct
0.500 0.040 0.638
0.500 0.040 0.362
0.000 0.632 0.500
0.000 0.960 0.862
0.500 0.368 0.000
0.000 0.960 0.138
0.500 0.227 0.814
0.500 0.352 0.500
0.000 0.773 0.314
0.500 0.227 0.186
0.000 0.773 0.686
0.000 0.648 0.000
```

Results
E_tot: -8.1267 eV/atom
energy relative to the elements: 628 meV per atom
space-group type: Pmmn, No. 59

BMo | GGA-PBE | optimized geometry

The structure in POSCAR format:
```
BMo
1.0
4.835 0.000 0.000
0.000 4.835 0.000
0.000 0.000 4.835
Mo B
4 4
direct
0.000 0.000 0.000
0.000 0.500 0.500
0.500 0.500 0.000
0.500 0.000 0.500
0.750 0.250 0.750
0.250 0.750 0.750
0.750 0.750 0.250
0.250 0.250 0.250
```

Results
E_tot: -7.9447 eV/atom
energy relative to the elements: 810 meV per atom
space-group type: F-43m, No. 216

BMo | GGA-PBE | optimized geometry

The structure in POSCAR format:
```
BMo
1.0
3.089 0.000 0.000
0.000 3.165 -0.208
0.000 -1.315 4.369
B Mo
2 2
direct
0.750 0.061 0.119
0.250 0.939 0.881
0.750 0.354 0.712
0.250 0.646 0.288
```

Results
E_tot: -9.2532 eV/atom
energy relative to the elements: -499 meV per atom
space-group type: P2_1/m, No. 11

BMo | GGA-PBE | optimized geometry

The structure in POSCAR format:
```
BMo
1.0
3.077 0.000 0.000
1.538 3.908 -0.007
1.538 0.645 3.854
Mo B
2 2
direct
0.749 0.751 0.751
0.251 0.249 0.249
0.000 0.828 0.172
0.000 0.172 0.828
```

Results
E_tot: -8.9648 eV/atom
energy relative to the elements: -210 meV per atom
space-group type: Immm, No. 71

BMo | GGA-PBE | optimized geometry

The structure in POSCAR format:
```
BMo
1.0
8.815 0.002 0.000
7.702 4.288 0.000
-8.259 -2.145 2.214
Mo B
4 4
direct
0.697 0.697 0.000
0.303 0.303 0.000
0.447 0.947 0.500
0.053 0.553 0.500
0.905 0.405 0.500
0.155 0.155 0.000
0.845 0.845 0.000
0.595 0.095 0.500
```

Results
E_tot: -9.2634 eV/atom
energy relative to the elements: -509 meV per atom
space-group type: I4_1/amd, No. 141